# 1
Density functional theory data (GGA-PBE) for AcNdMgCd after structural relaxation.

Properties
ΔH_f (0 K) ... -0.178 eV/atom
Fermi-level density of states ... 4.26 states/eV/f.u.
Crystal system ... cubic
Polymorph energy (0 for the lowest one) ... 16 meV/atom
Magnetization ... 0.00 μB per cell
Total DFT energy (no corrections) ... -3.0249 eV/atom

Structure (POSCAR):
```
AcNdMgCd
1.0
5.6334 0.0000 0.0000
2.8167 4.8787 0.0000
2.8167 1.6262 4.5997
Mg Nd Ac Cd
1 1 1 1
direct
0.7500 0.7500 0.7500
0.5000 0.5000 0.5000
0.0000 0.0000 0.0000
0.2500 0.2500 0.2500
```

---

# 2
Density functional theory data (GGA-PBE) for Ac2MgCdNi after structural relaxation.

Properties
ΔH_f (0 K) ... -0.252 eV/atom
Fermi-level density of states ... 4.91 states/eV/f.u.
Crystal system ... monoclinic
Magnetization ... 0.00 μB per cell
Total DFT energy (no corrections) ... -3.5537 eV/atom

Structure (POSCAR):
```
Ac2MgCdNi
1.0
4.3658 0.0000 0.0000
0.0000 8.4551 0.2101
0.0000 -3.3181 7.7697
Ac Ni Mg Cd
4 2 2 2
direct
0.2500 0.2885 0.9787
0.7500 0.7115 0.0213
0.2500 0.0915 0.3293
0.7500 0.9085 0.6707
0.7500 0.0868 0.0746
0.2500 0.9132 0.9254
0.7500 0.4296 0.3440
0.2500 0.5704 0.6560
0.7500 0.3287 0.6615
0.2500 0.6713 0.3385
```

---

# 3
Density functional theory data (GGA-PBE) for Ac2Mg3Cd12Pd after structural relaxation.

Properties
ΔH_f (0 K) ... -0.086 eV/atom
Fermi-level density of states ... 11.39 states/eV/f.u.
Crystal system ... trigonal
Magnetization ... 0.00 μB per cell
Total DFT energy (no corrections) ... -1.7067 eV/atom

Structure (POSCAR):
```
Ac2Mg3Cd12Pd
1.0
12.2554 3.2483 2.3040
8.8769 9.0524 2.3040
8.8769 5.1671 7.7818
Cd Pd Ac Mg
12 1 2 3
direct
0.8926 0.8926 0.3808
0.1074 0.1074 0.6192
0.4074 0.4074 0.8506
0.1074 0.6192 0.1074
0.4074 0.8506 0.4074
0.8926 0.3808 0.8926
0.6192 0.1074 0.1074
0.5926 0.5926 0.1494
0.8506 0.4074 0.4074
0.3808 0.8926 0.8926
0.1494 0.5926 0.5926
0.5926 0.1494 0.5926
0.0000 0.0000 0.0000
0.3582 0.3582 0.3582
0.6418 0.6418 0.6418
0.0000 0.0000 0.5000
0.5000 0.0000 0.0000
0.0000 0.5000 0.0000
```